1.
Pr7HoTm3 | PBE | optimized geometry

Properties
- DFT total energy: -0.1637 hartree per atom
- Crystal system: monoclinic
- Excess energy over the best structure of this formula in the dataset: 37.9 meV/atom

```
Pr7HoTm3
1.0
6.406 -5.746 0.000
6.406 5.746 0.000
-2.743 0.000 5.261
Pr Ho Tm
7 1 3
direct
0.000 0.000 0.000 Pr
0.097 0.521 0.309 Pr
0.293 0.293 0.794 Pr
0.479 0.903 0.691 Pr
0.521 0.097 0.309 Pr
0.707 0.707 0.206 Pr
0.903 0.479 0.691 Pr
0.000 0.000 0.500 Ho
0.295 0.705 0.000 Tm
0.500 0.500 0.500 Tm
0.705 0.295 0.000 Tm
```

=====

2.
Pr3Ho4Tm3 | PBE | optimized geometry

Properties
- DFT total energy: -0.1654 hartree per atom
- Crystal system: orthorhombic

```
Pr3Ho4Tm3
1.0
3.688 0.000 0.000
0.000 6.633 6.689
0.000 -6.633 6.689
Pr Ho Tm
3 4 3
direct
0.000 0.000 0.000 Pr
0.000 0.498 0.846 Pr
0.000 0.846 0.498 Pr
0.500 0.052 0.301 Ho
0.500 0.301 0.052 Ho
0.500 0.544 0.544 Ho
0.500 0.799 0.799 Ho
0.000 0.346 0.346 Tm
0.500 0.176 0.665 Tm
0.500 0.665 0.176 Tm
```

=====

3.
Pr16Ho6Tm7 | PBE | optimized geometry

Properties
- DFT total energy: -0.1641 hartree per atom
- Crystal system: cubic

```
Pr16Ho6Tm7
1.0
0.000 8.015 8.015
8.015 0.000 8.015
8.015 8.015 0.000
Pr Ho Tm
16 6 7
direct
0.056 0.648 0.648 Pr
0.125 0.125 0.125 Pr
0.125 0.125 0.625 Pr
0.125 0.625 0.125 Pr
0.352 0.352 0.352 Pr
0.352 0.352 0.944 Pr
0.352 0.944 0.352 Pr
0.375 0.875 0.875 Pr
0.625 0.125 0.125 Pr
0.648 0.056 0.648 Pr
0.648 0.648 0.056 Pr
0.648 0.648 0.648 Pr
0.875 0.375 0.875 Pr
0.875 0.875 0.375 Pr
0.875 0.875 0.875 Pr
0.944 0.352 0.352 Pr
0.263 0.263 0.737 Ho
0.263 0.737 0.263 Ho
0.263 0.737 0.737 Ho
0.737 0.263 0.263 Ho
0.737 0.263 0.737 Ho
0.737 0.737 0.263 Ho
0.000 0.000 0.000 Tm
0.000 0.000 0.500 Tm
0.000 0.500 0.000 Tm
0.000 0.500 0.500 Tm
0.500 0.000 0.000 Tm
0.500 0.000 0.500 Tm
0.500 0.500 0.000 Tm
```

=====

4.
Pr2Ho6Tm5 | PBE | optimized geometry

Properties
- DFT total energy: -0.1625 hartree per atom
- Crystal system: orthorhombic

```
Pr2Ho6Tm5
1.0
12.619 0.000 0.000
0.000 12.644 0.000
0.000 0.000 5.217
Pr Ho Tm
4 12 10
direct
0.088 0.191 0.000 Pr
0.412 0.691 0.000 Pr
0.588 0.309 0.000 Pr
0.912 0.809 0.000 Pr
0.097 0.598 0.000 Ho
0.193 0.914 0.000 Ho
0.229 0.095 0.500 Ho
0.271 0.595 0.500 Ho
0.307 0.414 0.000 Ho
0.403 0.098 0.000 Ho
0.597 0.902 0.000 Ho
0.693 0.586 0.000 Ho
0.729 0.405 0.500 Ho
0.771 0.905 0.500 Ho
0.807 0.086 0.000 Ho
0.903 0.402 0.000 Ho
0.000 0.000 0.500 Tm
0.099 0.774 0.500 Tm
0.109 0.390 0.500 Tm
0.391 0.890 0.500 Tm
0.401 0.274 0.500 Tm
0.500 0.500 0.500 Tm
0.599 0.726 0.500 Tm
0.609 0.110 0.500 Tm
0.891 0.610 0.500 Tm
0.901 0.226 0.500 Tm
```

=====

5.
Pr4Ho4Tm | PBE | optimized geometry

Properties
- DFT total energy: -0.1703 hartree per atom
- Crystal system: tetragonal
- Excess energy over the best structure of this formula in the dataset: 0.0 meV/atom

```
Pr4Ho4Tm
1.0
-5.415 5.415 2.537
5.415 -5.415 2.537
5.415 5.415 -2.537
Pr Ho Tm
4 4 1
direct
0.166 0.166 0.333 Pr
0.166 0.834 0.000 Pr
0.834 0.166 0.000 Pr
0.834 0.834 0.667 Pr
0.165 0.500 0.665 Ho
0.500 0.165 0.665 Ho
0.500 0.835 0.335 Ho
0.835 0.500 0.335 Ho
0.500 0.500 0.000 Tm
```

=====

6.
Pr3HoTm8 | PBE | optimized geometry

Properties
- DFT total energy: -0.1600 hartree per atom
- Crystal system: monoclinic

```
Pr3HoTm8
1.0
5.827 -4.455 0.000
5.827 4.455 0.000
-5.634 0.000 7.676
Pr Ho Tm
3 1 8
direct
0.000 0.000 0.000 Pr
0.480 0.876 0.684 Pr
0.876 0.480 0.684 Pr
0.467 0.467 0.804 Ho
0.106 0.106 0.424 Tm
0.266 0.266 0.951 Tm
0.365 0.365 0.363 Tm
0.408 0.755 0.247 Tm
0.614 0.964 0.133 Tm
0.755 0.408 0.247 Tm
0.900 0.900 0.566 Tm
0.964 0.614 0.133 Tm
```

=====

7.
PrHo5Tm3 | PBE | optimized geometry

Properties
- DFT total energy: -0.1551 hartree per atom
- Crystal system: monoclinic
- Excess energy over the best structure of this formula in the dataset: 0.0 meV/atom

```
PrHo5Tm3
1.0
9.473 -3.009 0.000
9.473 3.009 0.000
-4.287 0.000 10.334
Pr Ho Tm
2 10 6
direct
0.103 0.897 0.750 Pr
0.897 0.103 0.250 Pr
0.087 0.584 0.302 Ho
0.090 0.573 0.970 Ho
0.406 0.594 0.250 Ho
0.416 0.913 0.198 Ho
0.427 0.910 0.530 Ho
0.573 0.090 0.470 Ho
0.584 0.087 0.802 Ho
0.594 0.406 0.750 Ho
0.910 0.427 0.030 Ho
0.913 0.416 0.698 Ho
0.000 0.000 0.000 Tm
0.000 0.000 0.500 Tm
0.061 0.586 0.634 Tm
0.414 0.939 0.866 Tm
0.586 0.061 0.134 Tm
0.939 0.414 0.366 Tm
```

=====

8.
Pr3HoTm12 | PBE | optimized geometry

Properties
- DFT total energy: -0.1656 hartree per atom
- Crystal system: tetragonal

```
Pr3HoTm12
1.0
4.996 0.000 0.000
0.000 4.996 0.000
0.000 0.000 19.995
Pr Ho Tm
3 1 12
direct
0.000 0.000 0.000 Pr
0.000 0.000 0.251 Pr
0.000 0.000 0.749 Pr
0.000 0.000 0.500 Ho
0.000 0.500 0.126 Tm
0.000 0.500 0.377 Tm
0.000 0.500 0.623 Tm
0.000 0.500 0.874 Tm
0.500 0.000 0.126 Tm
0.500 0.000 0.377 Tm
0.500 0.000 0.623 Tm
0.500 0.000 0.874 Tm
0.500 0.500 0.000 Tm
0.500 0.500 0.252 Tm
0.500 0.500 0.500 Tm
0.500 0.500 0.748 Tm
```

=====

| no. | formation enthalpy at 0 K (meV per atom) |
| --- | --- |
| 1 | 222 |
| 2 | 106 |
| 3 | 198 |
| 4 | 147 |
| 5 | 21 |
| 6 | 204 |
| 7 | 343 |
| 8 | 30 |